Entry 1:
Entry from Alexandria via LeMat-Bulk: Tl2AgTeO6 after structural relaxation (PBE).

Uncorrected formation energy   -689 meV/atom
Space group   P1, No. 1

a b c (Å): 5.7914 5.7915 6.2438
angles (deg): 62.52 62.44 59.98
With the nearest neighbours (Å) after each atom.
Fractional positions:
Tl (0.5361, 0.5364, 0.3919)  6 O 2.37-2.59
Tl (0.0117, 0.0118, 0.9648)  6 O 2.28-2.37
Ag (0.7871, 0.7866, 0.6389)  3 O 2.34
Te (0.3272, 0.3273, 0.0180)  6 O 1.98-2.00
O (0.5634, 0.2313, 0.2189)  1 Te 1.98
O (0.2314, 0.9870, 0.2185)  1 Te 1.98
O (0.9866, 0.5639, 0.2191)  1 Te 1.98
O (0.3867, 0.6850, 0.7818)  1 Te 2.00
O (0.6856, 0.1459, 0.7814)  1 Te 2.00
O (0.1459, 0.3864, 0.7819)  1 Te 2.00

Entry 2:
Entry from Alexandria via LeMat-Bulk: TlAg2TeO4 after structural relaxation (PBE).

Uncorrected formation energy   -418 meV/atom
Space group   C2/c, No. 15

a b c (Å): 7.0251 7.0252 7.3367
angles (deg): 112.85 112.85 105.24
With the nearest neighbours (Å) after each atom.
Fractional positions:
Tl (0.0000, 0.5000, 0.0000)  4 O 2.26-2.35
Tl (0.0000, 0.5000, 0.5000)  4 O 2.26-2.35
Ag (0.5000, 0.0000, 0.0000)  2 O 2.11
Ag (0.5000, 0.0000, 0.5000)  2 O 2.11
Ag (0.0000, 0.0000, 0.5000)  2 O 2.16
Ag (0.5000, 0.5000, 0.0000)  2 O 2.16
Te (0.5000, 0.5000, 0.5000)  4 O 2.12-2.15
Te (0.0000, 0.0000, 0.0000)  4 O 2.12-2.15
O (0.1562, 0.7876, 0.8961)  1 Ag 2.11, 1 Te 2.15, 1 Tl 2.35
O (0.7124, 0.3438, 0.6039)  1 Ag 2.11, 1 Te 2.15, 1 Tl 2.35
O (0.2876, 0.6561, 0.3961)  1 Ag 2.11, 1 Te 2.15, 1 Tl 2.35
O (0.8439, 0.2124, 0.1039)  1 Ag 2.11, 1 Te 2.15, 1 Tl 2.35
O (0.9382, 0.8081, 0.1525)  1 Te 2.12, 1 Ag 2.16, 1 Tl 2.26
O (0.6919, 0.5618, 0.3475)  1 Te 2.12, 1 Ag 2.16, 1 Tl 2.26
O (0.3081, 0.4383, 0.6525)  1 Te 2.12, 1 Ag 2.16, 1 Tl 2.26
O (0.0617, 0.1919, 0.8475)  1 Te 2.12, 1 Ag 2.16, 1 Tl 2.26

Entry 3:
Entry from Alexandria via LeMat-Bulk: TlAg2TeO6 after structural relaxation (PBE).

Uncorrected formation energy   -502 meV/atom
Space group   P1, No. 1

a b c (Å): 5.8503 5.5936 6.0856
angles (deg): 61.51 57.71 60.42
With the nearest neighbours (Å) after each atom.
Fractional positions:
Tl (0.8277, 0.7784, 0.5956)  5 O 2.22-2.41
Ag (0.5469, 0.5383, 0.3663)  4 O 2.27-2.54
Ag (0.0074, 0.0108, 0.9432)  5 O 2.20-2.42
Te (0.3202, 0.3201, 0.0340)  6 O 1.94-2.05
O (0.5740, 0.2345, 0.1986)  1 Te 1.97
O (0.2128, 0.9740, 0.2659)  1 Te 1.94
O (0.9869, 0.5671, 0.2624)  1 Te 1.98
O (0.4108, 0.6935, 0.7663)  1 Te 2.05, 1 Ag 2.20, 1 Tl 2.28
O (0.6700, 0.1345, 0.7610)  1 Te 1.99, 1 Tl 2.22
O (0.1048, 0.4104, 0.8220)  1 Te 2.00

Entry 4:
Entry from Alexandria via LeMat-Bulk: Tl2AgTe2O6 after structural relaxation (PBE).

Uncorrected formation energy   -756 meV/atom
Space group   C2/m, No. 12

a b c (Å): 5.7610 6.9669 8.6126
angles (deg): 127.51 90.00 114.42
With the nearest neighbours (Å) after each atom.
Fractional positions:
Tl (0.6964, 0.3927, 0.2840)  1 O 2.43
Tl (0.3036, 0.6073, 0.7160)  1 O 2.43
Ag (0.5000, 0.0000, 0.5000)  4 O 2.17
Te (0.0883, 0.1766, 0.8470)  3 O 1.89-1.91
Te (0.9117, 0.8234, 0.1530)  3 O 1.89-1.91
O (0.8886, 0.7771, 0.6615)  1 Te 1.89
O (0.1141, 0.7382, 0.2526)  1 Te 1.91
O (0.3759, 0.2618, 0.7474)  1 Te 1.91
O (0.8859, 0.2618, 0.7474)  1 Te 1.91
O (0.6241, 0.7382, 0.2526)  1 Te 1.91
O (0.1114, 0.2229, 0.3385)  1 Te 1.89

Entry 5:
Entry from Alexandria via LeMat-Bulk: TlAgTe2O8 after structural relaxation (PBE).

Uncorrected formation energy   -540 meV/atom
Space group   I-4m2, No. 119

a b c (Å): 6.2825 6.2825 6.2825
angles (deg): 106.56 106.56 115.46
With the nearest neighbours (Å) after each atom.
Fractional positions:
Tl (0.2500, 0.7500, 0.5000)  8 O 2.38-2.51
Ag (0.0000, 0.0000, 0.0000)  8 O 2.41-2.61
Te (0.7500, 0.2500, 0.5000)  4 O 1.87
Te (0.5000, 0.5000, 0.0000)  4 O 1.85
O (0.3774, 0.0618, 0.3156)  1 Te 1.87
O (0.3257, 0.5168, 0.1911)  1 Te 1.85
O (0.3257, 0.1347, 0.8089)  1 Te 1.85
O (0.7462, 0.0618, 0.6844)  1 Te 1.87
O (0.8653, 0.6743, 0.1911)  1 Te 1.85
O (0.9382, 0.2538, 0.3156)  1 Te 1.87
O (0.9382, 0.6226, 0.6844)  1 Te 1.87
O (0.4832, 0.6743, 0.8089)  1 Te 1.85

Entry 6:
Entry from Alexandria via LeMat-Bulk: Tl3AgTe2O9 after structural relaxation (PBE).

Uncorrected formation energy   -591 meV/atom
Space group   P-3m1, No. 164

a b c (Å): 5.7886 5.7886 7.5902
angles (deg): 90.00 90.00 120.00
With the nearest neighbours (Å) after each atom.
Fractional positions:
Tl (0.3333, 0.6667, 0.6480)  12 O 2.95-3.26
Tl (0.0000, 0.0000, 0.0000)  12 O 2.70-2.89
Tl (0.6667, 0.3333, 0.3520)  12 O 2.95-3.26
Ag (0.0000, 0.0000, 0.5000)  6 O 2.36
Te (0.3333, 0.6667, 0.1557)  6 O 1.92-2.05
Te (0.6667, 0.3333, 0.8443)  6 O 1.92-2.05
O (0.8338, 0.1662, 0.7208)  1 Te 1.92
O (0.8338, 0.6675, 0.7208)  1 Te 1.92
O (0.3325, 0.1662, 0.7208)  1 Te 1.92
O (0.6675, 0.8338, 0.2792)  1 Te 1.92
O (0.1662, 0.3325, 0.2792)  1 Te 1.92
O (0.1662, 0.8338, 0.2792)  1 Te 1.92
O (0.5000, 0.0000, 0.0000)  2 Te 2.05
O (0.0000, 0.5000, 0.0000)  2 Te 2.05
O (0.5000, 0.5000, 0.0000)  2 Te 2.05

Entry 7:
Entry from Alexandria via LeMat-Bulk: TmAg2TeO4 after structural relaxation (PBE).

Uncorrected formation energy   -1293 meV/atom
Space group   C2/c, No. 15

a b c (Å): 6.9116 6.9116 7.0310
angles (deg): 117.44 117.44 72.67
With the nearest neighbours (Å) after each atom.
Fractional positions:
Tm (0.0000, 0.5000, 0.0000)  6 O 2.26-2.28
Tm (0.0000, 0.5000, 0.5000)  6 O 2.26-2.28
Ag (0.5000, 0.0000, 0.0000)  2 O 2.08
Ag (0.5000, 0.0000, 0.5000)  2 O 2.08
Ag (0.0000, 0.0000, 0.5000)  2 O 2.25
Ag (0.5000, 0.5000, 0.0000)  2 O 2.25
Te (0.5000, 0.5000, 0.5000)  4 O 2.16-2.19
Te (0.0000, 0.0000, 0.0000)  4 O 2.16-2.19
O (0.1532, 0.6612, 0.8906)  1 Te 2.19, 1 Ag 2.25, 2 Tm 2.26-2.28
O (0.8388, 0.3468, 0.6094)  1 Te 2.19, 1 Ag 2.25, 2 Tm 2.26-2.28
O (0.1612, 0.6532, 0.3906)  1 Te 2.19, 1 Ag 2.25, 2 Tm 2.26-2.28
O (0.8468, 0.3388, 0.1094)  1 Te 2.19, 1 Ag 2.25, 2 Tm 2.26-2.28
O (0.8152, 0.8387, 0.0515)  1 Ag 2.08, 1 Te 2.16, 1 Tm 2.26
O (0.6613, 0.6848, 0.4485)  1 Ag 2.08, 1 Te 2.16, 1 Tm 2.26
O (0.3387, 0.3152, 0.5515)  1 Ag 2.08, 1 Te 2.16, 1 Tm 2.26
O (0.1848, 0.1613, 0.9485)  1 Ag 2.08, 1 Te 2.16, 1 Tm 2.26

Entry 8:
Entry from Alexandria via LeMat-Bulk: UAgTeO6 after structural relaxation (PBE).

Uncorrected formation energy   -1601 meV/atom
Space group   P-31c, No. 163

a b c (Å): 5.6516 5.6516 10.0166
angles (deg): 90.00 90.00 120.00
With the nearest neighbours (Å) after each atom.
Fractional positions:
U (0.6667, 0.3333, 0.2500)  6 O 2.13
U (0.3333, 0.6667, 0.7500)  6 O 2.13
Ag (0.0000, 0.0000, 0.0000)  6 O 2.52
Ag (0.0000, 0.0000, 0.5000)  6 O 2.52
Te (0.3333, 0.6667, 0.2500)  6 O 2.06
Te (0.6667, 0.3333, 0.7500)  6 O 2.06
O (0.6268, 0.6361, 0.1414)  1 Te 2.06, 1 U 2.13
O (0.0093, 0.3732, 0.1414)  1 Te 2.06, 1 U 2.13
O (0.3732, 0.0093, 0.6414)  1 Te 2.06, 1 U 2.13
O (0.9907, 0.6268, 0.8586)  1 Te 2.06, 1 U 2.13
O (0.3639, 0.3732, 0.3586)  1 Te 2.06, 1 U 2.13
O (0.0093, 0.6361, 0.3586)  1 Te 2.06, 1 U 2.13
O (0.6361, 0.0093, 0.8586)  1 Te 2.06, 1 U 2.13
O (0.6268, 0.9907, 0.3586)  1 Te 2.06, 1 U 2.13
O (0.9907, 0.3639, 0.6414)  1 Te 2.06, 1 U 2.13
O (0.3639, 0.9907, 0.1414)  1 Te 2.06, 1 U 2.13
O (0.6361, 0.6268, 0.6414)  1 Te 2.06, 1 U 2.13
O (0.3732, 0.3639, 0.8586)  1 Te 2.06, 1 U 2.13

Entry 9:
Entry from Alexandria via LeMat-Bulk: UAg2TeO6 after structural relaxation (PBE).

Uncorrected formation energy   -1431 meV/atom
Space group   P4mm, No. 99

a b c (Å): 4.3976 5.9472 5.9472
angles (deg): 90.00 90.00 90.00
With the nearest neighbours (Å) after each atom.
Fractional positions:
U (0.6261, 0.0000, 0.0000)  6 O 2.05-2.21
Ag (0.2084, 0.5000, 0.0000)  8 O 2.75-3.00
Ag (0.2084, 0.0000, 0.5000)  8 O 2.75-3.00
Te (0.6306, 0.5000, 0.5000)  1 O 1.89
O (0.6121, 0.2442, 0.2442)  1 U 2.05, 1 Te 2.15
O (0.6121, 0.2442, 0.7558)  1 U 2.05, 1 Te 2.15
O (0.2016, 0.5000, 0.5000)  1 Te 1.89
O (0.1231, 0.0000, 0.0000)  2 U 2.19-2.21
O (0.6121, 0.7558, 0.7558)  1 U 2.05, 1 Te 2.15
O (0.6121, 0.7558, 0.2442)  1 U 2.05, 1 Te 2.15